This record from Alexandria describes an optimized crystal structure of HoSi. The functional is GGA-PBE.

Values from the calculation:
Electronic total energy, eV/atom: -5.790
Energy relative to the elements, uncorrected, eV/f.u.: -1.579

a b c (Å): 4.0202 4.0202 21.1280
angles (deg): 90.00 90.00 90.00
Space group I4_1/amd (No. 141, origin choice 2)
Asymmetric unit:
Ho (0.0000, 0.2500, 0.0707) (multiplicity 8)
Si (0.0000, 0.2500, 0.2124) (multiplicity 8)